## Np2Cu2P3 (PBE-GGA)

Data for crystalline Np2Cu2P3 at its relaxed geometry.

Calculated values
* theoretical density: 9245 kg/m³
* calculated volume: 17.8 Å³/atom
* E_tot: -7.756 eV/atom
* calculated formation energy: -55 kJ per mole of atoms
* space group: No. 12

```
Np2Cu2P3
1.0
7.011 -1.925 0.000
7.011 1.925 0.000
-6.023 0.000 9.235
Np Cu P
4 4 6
Direct
0.099 0.099 0.454
0.234 0.234 0.837
0.766 0.766 0.163
0.901 0.901 0.546
0.086 0.086 0.164
0.455 0.455 0.169
0.545 0.545 0.831
0.914 0.914 0.836
0.118 0.118 0.976
0.337 0.337 0.679
0.413 0.413 0.349
0.587 0.587 0.651
0.663 0.663 0.321
0.882 0.882 0.024
```